Density functional theory data (GGA-PBEsol) for a relaxed structure of ZrMoIr. Values from VASP.

The structure in Quantum ESPRESSO input format:
```
&SYSTEM
  ibrav = 0, nat = 3, ntyp = 3
/
ATOMIC_SPECIES
Ir 192.22 Ir.upf
Mo 95.94 Mo.upf
Zr 91.22 Zr.upf
CELL_PARAMETERS angstrom
4.316 0.000 0.000
2.158 3.738 0.000
2.158 1.246 3.524
ATOMIC_POSITIONS crystal
Ir 0.500 0.500 0.500
Mo 0.250 0.250 0.250
Zr 0.000 0.000 0.000
```

Output
symmetry: F-43m
formation enthalpy at 0 K: 0.353 eV/atom
spin magnetization: 0.00 μB/atom
final energy: -9.874 eV/atom
V: 19.0 A^3/atom